Entry 1:
First-principles (PBE) data for Al5Ag3 after structural relaxation, as listed in Alexandria via LeMat-Bulk.

Calculated values
crystal system = monoclinic
total moment = 0.000 μB/f.u.
energy relative to the elements = 0.019 eV/atom
excess energy over the best structure of this formula in the dataset = 58 meV per atom

Unit cell a=5.0329 b=5.0329 c=6.3943 alpha=104.74 beta=104.74 gamma=110.17
With the nearest neighbours (Å) after each atom.
Fractional coordinates of all 8 atoms:
Al1 0.0000 0.0000 0.0000  4 Ag 2.79-2.88, 8 Al 2.88-2.89
Al2 0.1229 0.6226 0.2456  6 Al 2.81-2.91, 6 Ag 2.87-2.95
Al3 0.3774 0.8771 0.7544  6 Al 2.81-2.91, 6 Ag 2.87-2.95
Al4 0.6226 0.1229 0.2456  6 Al 2.81-2.91, 6 Ag 2.87-2.95
Al5 0.8771 0.3774 0.7544  6 Al 2.81-2.91, 6 Ag 2.87-2.95
Ag1 0.2440 0.2440 0.4875  9 Al 2.79-2.95, 3 Ag 2.88-2.94
Ag2 0.5000 0.5000 0.0000  10 Al 2.88-2.89, 2 Ag 2.94
Ag3 0.7560 0.7560 0.5125  9 Al 2.79-2.95, 3 Ag 2.88-2.94

***

Entry 2:
First-principles (PBE) data for AlAg2 after structural relaxation, as listed in Alexandria via LeMat-Bulk.

Calculated values
crystal system = trigonal
total moment = 0.000 μB/f.u.
energy relative to the elements = -0.019 eV/atom

Unit cell a=2.9516 b=2.9516 c=13.7003 alpha=90.00 beta=90.00 gamma=120.00
With the nearest neighbours (Å) after each atom.
Fractional coordinates of all 6 atoms:
Al1 0.3333 0.6667 0.3360  6 Ag 2.78-2.82, 6 Al 2.95
Al2 0.6667 0.3333 0.6640  6 Ag 2.78-2.82, 6 Al 2.95
Ag1 0.0000 0.0000 0.0000  12 Ag 2.95
Ag2 0.0000 0.0000 0.5000  6 Al 2.82, 6 Ag 2.95
Ag3 0.3333 0.6667 0.8239  3 Al 2.78, 9 Ag 2.95
Ag4 0.6667 0.3333 0.1761  3 Al 2.78, 9 Ag 2.95

***

Entry 3:
First-principles (PBE) data for Al8Ag after structural relaxation, as listed in Alexandria via LeMat-Bulk.

Calculated values
crystal system = tetragonal
total moment = 0.000 μB/f.u.
energy relative to the elements = 0.084 eV/atom
excess energy over the best structure of this formula in the dataset = 63 meV per atom

Unit cell a=7.3119 b=7.3119 c=7.3119 alpha=92.42 beta=92.42 gamma=156.29
With the nearest neighbours (Å) after each atom.
Fractional coordinates of all 9 atoms:
Al1 0.0000 0.3335 0.3335  10 Al 2.82-3.00
Al2 0.0000 0.6665 0.6665  10 Al 2.82-3.00
Al3 0.3335 0.3335 0.6669  2 Ag 2.82, 8 Al 2.82-3.00
Al4 0.3335 0.6665 0.0000  2 Ag 2.82, 8 Al 2.82-3.00
Al5 0.3335 0.0000 0.3335  10 Al 2.82-3.00
Al6 0.6665 0.0000 0.6665  10 Al 2.82-3.00
Al7 0.6665 0.3335 0.0000  2 Ag 2.82, 8 Al 2.82-3.00
Al8 0.6665 0.6665 0.3331  2 Ag 2.82, 8 Al 2.82-3.00
Ag1 0.0000 0.0000 0.0000  8 Al 2.82, 2 Ag 3.00